[1]
Crystalline SrScNO2 at its relaxed geometry. Source: Alexandria via LeMat-Bulk, functional PBEsol.

Symmetry ... P4/mmm (123)

Structure (CIF):
```
data_SrScNO2
_cell_length_a 4.293
_cell_length_b 4.293
_cell_length_c 4.352
_cell_angle_alpha 90.00
_cell_angle_beta 90.00
_cell_angle_gamma 90.00
_space_group_name_H-M_alt 'P 1'
_space_group_IT_number 1
loop_
_space_group_symop_operation_xyz
'x,y,z'
loop_
_atom_site_label
_atom_site_type_symbol
_atom_site_fract_x
_atom_site_fract_y
_atom_site_fract_z
Sr1 Sr 0.000 0.000 0.000
Sc1 Sc 0.500 0.500 0.500
N1 N 0.000 0.000 0.500
O1 O 0.000 0.500 0.000
O2 O 0.500 0.000 0.000
```

***

[2]
Crystalline ScTa2NO at its relaxed geometry. Source: Alexandria via LeMat-Bulk, functional PBEsol.

Symmetry ... P4/mmm (123)

Structure (CIF):
```
data_ScTa2NO
_cell_length_a 4.779
_cell_length_b 4.779
_cell_length_c 3.787
_cell_angle_alpha 90.00
_cell_angle_beta 90.00
_cell_angle_gamma 90.00
_space_group_name_H-M_alt 'P 1'
_space_group_IT_number 1
loop_
_space_group_symop_operation_xyz
'x,y,z'
loop_
_atom_site_label
_atom_site_type_symbol
_atom_site_fract_x
_atom_site_fract_y
_atom_site_fract_z
Sc1 Sc 0.000 0.000 0.000
Ta1 Ta 0.000 0.500 0.000
Ta2 Ta 0.500 0.000 0.000
N1 N 0.000 0.000 0.500
O1 O 0.500 0.500 0.500
```

***

[3]
Crystalline ScTcN2O at its relaxed geometry. Source: Alexandria via LeMat-Bulk, functional PBEsol.

Symmetry ... P4/mmm (123)

Structure (CIF):
```
data_ScTcN2O
_cell_length_a 3.821
_cell_length_b 3.821
_cell_length_c 3.797
_cell_angle_alpha 90.00
_cell_angle_beta 90.00
_cell_angle_gamma 90.00
_space_group_name_H-M_alt 'P 1'
_space_group_IT_number 1
loop_
_space_group_symop_operation_xyz
'x,y,z'
loop_
_atom_site_label
_atom_site_type_symbol
_atom_site_fract_x
_atom_site_fract_y
_atom_site_fract_z
Sc1 Sc 0.000 0.000 0.000
Tc1 Tc 0.500 0.500 0.500
N1 N 0.000 0.500 0.500
N2 N 0.500 0.000 0.500
O1 O 0.500 0.500 0.000
```

***

[4]
Crystalline ScTe2NO at its relaxed geometry. Source: Alexandria via LeMat-Bulk, functional PBEsol.

Symmetry ... P4/mmm (123)

Structure (CIF):
```
data_ScTe2NO
_cell_length_a 4.589
_cell_length_b 4.589
_cell_length_c 4.053
_cell_angle_alpha 90.00
_cell_angle_beta 90.00
_cell_angle_gamma 90.00
_space_group_name_H-M_alt 'P 1'
_space_group_IT_number 1
loop_
_space_group_symop_operation_xyz
'x,y,z'
loop_
_atom_site_label
_atom_site_type_symbol
_atom_site_fract_x
_atom_site_fract_y
_atom_site_fract_z
Sc1 Sc 0.000 0.000 0.000
Te1 Te 0.000 0.500 0.500
Te2 Te 0.500 0.000 0.500
N1 N 0.500 0.500 0.000
O1 O 0.500 0.500 0.500
```

***

[5]
Crystalline ScTeNO2 at its relaxed geometry. Source: Alexandria via LeMat-Bulk, functional PBEsol.

Symmetry ... P4/mmm (123)

Structure (CIF):
```
data_ScTeNO2
_cell_length_a 3.937
_cell_length_b 3.937
_cell_length_c 4.271
_cell_angle_alpha 90.00
_cell_angle_beta 90.00
_cell_angle_gamma 90.00
_space_group_name_H-M_alt 'P 1'
_space_group_IT_number 1
loop_
_space_group_symop_operation_xyz
'x,y,z'
loop_
_atom_site_label
_atom_site_type_symbol
_atom_site_fract_x
_atom_site_fract_y
_atom_site_fract_z
Sc1 Sc 0.000 0.000 0.000
Te1 Te 0.500 0.500 0.500
N1 N 0.000 0.000 0.500
O1 O 0.000 0.500 0.000
O2 O 0.500 0.000 0.000
```

***

[6]
Crystalline ScZnNO2 at its relaxed geometry. Source: Alexandria via LeMat-Bulk, functional PBEsol.

Symmetry ... P4/mmm (123)

Structure (CIF):
```
data_ScZnNO2
_cell_length_a 3.982
_cell_length_b 3.982
_cell_length_c 4.191
_cell_angle_alpha 90.00
_cell_angle_beta 90.00
_cell_angle_gamma 90.00
_space_group_name_H-M_alt 'P 1'
_space_group_IT_number 1
loop_
_space_group_symop_operation_xyz
'x,y,z'
loop_
_atom_site_label
_atom_site_type_symbol
_atom_site_fract_x
_atom_site_fract_y
_atom_site_fract_z
Sc1 Sc 0.000 0.000 0.000
Zn1 Zn 0.500 0.500 0.500
N1 N 0.000 0.000 0.500
O1 O 0.000 0.500 0.000
O2 O 0.500 0.000 0.000
```

***

[7]
Crystalline SrSeN2O at its relaxed geometry. Source: Alexandria via LeMat-Bulk, functional PBEsol.

Symmetry ... P4/mmm (123)

Structure (CIF):
```
data_SrSeN2O
_cell_length_a 4.208
_cell_length_b 4.208
_cell_length_c 3.971
_cell_angle_alpha 90.00
_cell_angle_beta 90.00
_cell_angle_gamma 90.00
_space_group_name_H-M_alt 'P 1'
_space_group_IT_number 1
loop_
_space_group_symop_operation_xyz
'x,y,z'
loop_
_atom_site_label
_atom_site_type_symbol
_atom_site_fract_x
_atom_site_fract_y
_atom_site_fract_z
Sr1 Sr 0.000 0.000 0.000
Se1 Se 0.500 0.500 0.000
N1 N 0.000 0.500 0.500
N2 N 0.500 0.000 0.500
O1 O 0.500 0.500 0.500
```

***

[8]
Crystalline TaSeN2O at its relaxed geometry. Source: Alexandria via LeMat-Bulk, functional PBEsol.

Symmetry ... P4/mmm (123)

Structure (CIF):
```
data_TaSeN2O
_cell_length_a 3.851
_cell_length_b 3.851
_cell_length_c 5.384
_cell_angle_alpha 90.00
_cell_angle_beta 90.00
_cell_angle_gamma 90.00
_space_group_name_H-M_alt 'P 1'
_space_group_IT_number 1
loop_
_space_group_symop_operation_xyz
'x,y,z'
loop_
_atom_site_label
_atom_site_type_symbol
_atom_site_fract_x
_atom_site_fract_y
_atom_site_fract_z
Ta1 Ta 0.000 0.000 0.000
Se1 Se 0.000 0.000 0.500
N1 N 0.000 0.500 0.000
N2 N 0.500 0.000 0.000
O1 O 0.500 0.500 0.500
```

***

The evaluated E_form (uncorrected) for the records listed, in turn: -175.7, 1979.7, -810.7, 336.7, -724.3, -543.9, 1008.5, 728.5 meV/atom.